[1]
VASP calculation (PBE-GGA) on an optimized crystal structure of MnAlBr2.

## Properties
Energy relative to the lowest polymorph listed for this composition = 202 kJ/mol of formula units
Electronic total energy = -3.8935 eV per atom

Lattice parameters (Å, degrees): 6.838 6.838 6.838 145.76 145.76 49.20
Sites, in units of the cell vectors:
Mn1 0.000 0.000 0.000
Al1 0.250 0.750 0.500
Br1 0.500 0.500 0.000
Br2 0.750 0.250 0.500

[2]
VASP calculation (PBE-GGA) on an optimized crystal structure of ZnSb2TeI.

## Properties
Energy relative to the lowest polymorph listed for this composition = 0 kJ/mol of formula units
Electronic total energy = -2.3852 eV per atom

Lattice parameters (Å, degrees): 5.417 5.417 5.218 90.00 90.00 90.00
Sites, in units of the cell vectors:
Zn1 0.000 0.000 0.000
Sb1 0.000 0.500 0.000
Sb2 0.500 0.000 0.000
Te1 0.500 0.500 0.500
I1 0.000 0.000 0.500

[3]
VASP calculation (PBE-GGA) on an optimized crystal structure of Zr2CuAu.

## Properties
Electronic total energy = -6.1273 eV per atom
Formation energy from the elements = -0.0098 eV per atom

Lattice parameters (Å, degrees): 4.730 4.730 4.730 60.00 60.00 60.00
Sites, in units of the cell vectors:
Zr1 0.000 0.000 0.000
Zr2 0.250 0.250 0.250
Cu1 0.750 0.750 0.750
Au1 0.500 0.500 0.500

[4]
VASP calculation (PBE-GGA) on an optimized crystal structure of Na2TeO3.

## Properties
Electronic total energy = -4.8455 eV per atom

Lattice parameters (Å, degrees): 5.884 5.884 6.507 106.02 106.02 51.75
Sites, in units of the cell vectors:
Na1 0.165 0.168 0.084
Na2 0.168 0.165 0.584
Na3 0.832 0.835 0.416
Na4 0.835 0.832 0.916
Te1 0.499 0.501 0.750
Te2 0.501 0.499 0.250
O1 0.132 0.868 0.250
O2 0.351 0.353 0.426
O3 0.353 0.351 0.926
O4 0.647 0.649 0.074
O5 0.649 0.647 0.574
O6 0.868 0.132 0.750

[5]
VASP calculation (PBE-GGA) on an optimized crystal structure of YFe2Ir.

## Properties
Electronic total energy = -8.0188 eV per atom
Formation energy from the elements = 0.0438 eV per atom

Lattice parameters (Å, degrees): 5.268 5.268 5.268 144.85 129.24 63.25
Sites, in units of the cell vectors:
Y1 0.000 0.000 0.000
Fe1 0.273 0.773 0.500
Fe2 0.493 0.493 0.000
Ir1 0.730 0.230 0.500

[6]
VASP calculation (PBE-GGA) on an optimized crystal structure of Na3PaCr2S6.

## Properties
Electronic total energy = -5.9277 eV per atom

Lattice parameters (Å, degrees): 6.468 6.468 7.027 98.84 98.84 119.99
Sites, in units of the cell vectors:
Na1 0.000 0.000 0.000
Na2 0.335 0.665 0.000
Na3 0.665 0.335 0.000
Pa1 0.500 0.500 0.500
Cr1 0.167 0.833 0.500
Cr2 0.833 0.167 0.500
S1 0.079 0.429 0.287
S2 0.221 0.221 0.713
S3 0.429 0.079 0.287
S4 0.571 0.921 0.713
S5 0.779 0.779 0.287
S6 0.921 0.571 0.713